[1]
KCa2AgH PBE relaxed; space-group type = No. 123; calculated total energy = -2.32 eV per atom; DOS at the Fermi energy = 2.07 states/eV/cell
1.0
5.0634 0.0000 0.0000
0.0000 5.0634 0.0000
0.0000 0.0000 5.1304
K Ca Ag H
1 2 1 1
Direct
0.0000 0.0000 0.0000 K
0.0000 0.5000 0.5000 Ca
0.5000 0.0000 0.5000 Ca
0.5000 0.5000 0.0000 Ag
0.0000 0.0000 0.5000 H

[2]
Ca2LaAgH PBE relaxed; space-group type = No. 123; calculated total energy = -3.18 eV per atom; DOS at the Fermi energy = 5.53 states/eV/cell
1.0
4.9753 0.0000 0.0000
0.0000 4.9753 0.0000
0.0000 0.0000 5.1084
Ca La Ag H
2 1 1 1
Direct
0.0000 0.5000 0.0000 Ca
0.5000 0.0000 0.0000 Ca
0.0000 0.0000 0.5000 La
0.5000 0.5000 0.5000 Ag
0.0000 0.0000 0.0000 H

[3]
Li2CaAgH PBE relaxed; space-group type = No. 123; calculated total energy = -2.62 eV per atom; DOS at the Fermi energy = 1.80 states/eV/cell
1.0
4.3225 0.0000 0.0000
0.0000 4.3225 0.0000
0.0000 0.0000 4.6738
Li Ca Ag H
2 1 1 1
Direct
0.0000 0.5000 0.0000 Li
0.5000 0.0000 0.0000 Li
0.0000 0.0000 0.5000 Ca
0.5000 0.5000 0.5000 Ag
0.0000 0.0000 0.0000 H

[4]
LiCa2AgH PBE relaxed; space-group type = No. 123; calculated total energy = -2.71 eV per atom; DOS at the Fermi energy = 2.83 states/eV/cell; energy relative to the lowest polymorph listed for this composition = 0.0 meV per atom
1.0
5.0921 0.0000 0.0000
0.0000 5.0921 0.0000
0.0000 0.0000 3.9693
Li Ca Ag H
1 2 1 1
Direct
0.0000 0.0000 0.0000 Li
0.0000 0.5000 0.5000 Ca
0.5000 0.0000 0.5000 Ca
0.5000 0.5000 0.0000 Ag
0.0000 0.0000 0.5000 H

[5]
LiCa2AgH PBE relaxed; space-group type = No. 123; calculated total energy = -2.57 eV per atom; DOS at the Fermi energy = 3.42 states/eV/cell; energy relative to the lowest polymorph listed for this composition = 136.9 meV per atom
1.0
4.9989 0.0000 0.0000
0.0000 4.9989 0.0000
0.0000 0.0000 4.3058
Li Ca Ag H
1 2 1 1
Direct
0.0000 0.0000 0.0000 Li
0.0000 0.5000 0.5000 Ca
0.5000 0.0000 0.5000 Ca
0.5000 0.5000 0.0000 Ag
0.5000 0.5000 0.5000 H

[6]
CaMg2AgH PBE relaxed; space-group type = No. 123; calculated total energy = -2.42 eV per atom; DOS at the Fermi energy = 1.61 states/eV/cell
1.0
4.4885 0.0000 0.0000
0.0000 4.4885 0.0000
0.0000 0.0000 4.6980
Ca Mg Ag H
1 2 1 1
Direct
0.0000 0.0000 0.0000 Ca
0.0000 0.5000 0.5000 Mg
0.5000 0.0000 0.5000 Mg
0.5000 0.5000 0.0000 Ag
0.0000 0.0000 0.5000 H

What did the third record say?
Li2CaAgH PBE relaxed; space-group type = No. 123; calculated total energy = -2.62 eV per atom; DOS at the Fermi energy = 1.80 states/eV/cell
1.0
4.3225 0.0000 0.0000
0.0000 4.3225 0.0000
0.0000 0.0000 4.6738
Li Ca Ag H
2 1 1 1
Direct
0.0000 0.5000 0.0000 Li
0.5000 0.0000 0.0000 Li
0.0000 0.0000 0.5000 Ca
0.5000 0.5000 0.5000 Ag
0.0000 0.0000 0.0000 H

The lowest calculated total energy belongs to which entry? Ca2LaAgH

Among the records above, which one has the highest DOS at the Fermi energy? Ca2LaAgH

DOS at the Fermi energy of number 5 (LiCa2AgH)? 3.42 states/eV/cell